[1]
The following is a PBE-GGA calculation of an optimized crystal structure of ReSi3, from Alexandria via LeMat-Bulk.

Values from the calculation:
Raw total energy, eV/cell: -27.17
Formation energy without anion corrections, kJ/mol of formula units: 150
Calculated density, Mg/m³: 7.720

Cell: 2.8787 2.8787 7.5130 Å, 90.00 90.00 110.88°
Element x y z (fractional)
Re1 0.0000 0.0000 0.0000
Si1 0.0000 0.0000 0.5000
Si2 0.5000 0.5000 0.2459
Si3 0.5000 0.5000 0.7541


[2]
The following is a PBE-GGA calculation of an optimized crystal structure of ReSi3, from Alexandria via LeMat-Bulk.

Values from the calculation:
Raw total energy, eV/cell: -27.40
Formation energy without anion corrections, kJ/mol of formula units: 127
Calculated density, Mg/m³: 8.347

Cell: 4.5078 4.5078 4.5078 Å, 129.05 129.05 74.93°
Element x y z (fractional)
Re1 0.0000 0.0000 0.0000
Si1 0.2500 0.7500 0.5000
Si2 0.5000 0.5000 0.0000
Si3 0.7500 0.2500 0.5000


[3]
The following is a PBE-GGA calculation of an optimized crystal structure of ReSi2, from Alexandria via LeMat-Bulk.

Values from the calculation:
Raw total energy, eV/cell: -47.49
Formation energy without anion corrections, kJ/mol of formula units: -43
Calculated density, Mg/m³: 10.037

Cell: 4.4617 4.4617 5.7917 Å, 121.36 121.36 60.69°
Element x y z (fractional)
Re1 0.0947 0.9053 0.7500
Re2 0.9053 0.0947 0.2500
Si1 0.2236 0.4361 0.2405
Si2 0.4361 0.2236 0.7405
Si3 0.5639 0.7764 0.2595
Si4 0.7764 0.5639 0.7595


[4]
The following is a PBE-GGA calculation of an optimized crystal structure of ReSi2, from Alexandria via LeMat-Bulk.

Values from the calculation:
Raw total energy, eV/cell: -47.84
Formation energy without anion corrections, kJ/mol of formula units: -60
Calculated density, Mg/m³: 10.027

Cell: 4.4792 4.4792 4.5199 Å, 90.00 90.00 62.29°
Element x y z (fractional)
Re1 0.2119 0.7881 0.7500
Re2 0.7881 0.2119 0.2500
Si1 0.1104 0.5615 0.2500
Si2 0.4385 0.8896 0.2500
Si3 0.5615 0.1104 0.7500
Si4 0.8896 0.4385 0.7500


[5]
The following is a PBE-GGA calculation of an optimized crystal structure of ReSi3, from Alexandria via LeMat-Bulk.

Values from the calculation:
Raw total energy, eV/cell: -57.47
Formation energy without anion corrections, kJ/mol of formula units: -2
Calculated density, Mg/m³: 7.612

Cell: 3.9146 4.8731 6.1858 Å, 90.00 90.00 90.00°
Element x y z (fractional)
Re1 0.2500 0.2500 0.2450
Re2 0.7500 0.7500 0.7550
Si1 0.2500 0.0185 0.6359
Si2 0.2500 0.4815 0.6359
Si3 0.2500 0.7500 0.0634
Si4 0.7500 0.2500 0.9366
Si5 0.7500 0.5185 0.3641
Si6 0.7500 0.9815 0.3641


[6]
The following is a PBE-GGA calculation of an optimized crystal structure of Re2Si, from Alexandria via LeMat-Bulk.

Values from the calculation:
Raw total energy, eV/cell: -28.39
Energy above the most stable polymorph in this dataset, meV per atom: 899
Formation energy without anion corrections, kJ/mol of formula units: 186
Calculated density, Mg/m³: 14.593

Cell: 4.3134 4.3134 2.8284 Å, 90.00 90.00 120.00°
Element x y z (fractional)
Re1 0.3333 0.6667 0.0000
Re2 0.6667 0.3333 0.0000
Si1 0.0000 0.0000 0.5000


[7]
The following is a PBE-GGA calculation of an optimized crystal structure of Re2Si, from Alexandria via LeMat-Bulk.

Values from the calculation:
Raw total energy, eV/cell: -61.18
Energy above the most stable polymorph in this dataset, meV per atom: 165
Formation energy without anion corrections, kJ/mol of formula units: -26
Calculated density, Mg/m³: 15.976

Cell: 4.8136 4.8136 4.8136 Å, 104.08 104.08 120.90°
Element x y z (fractional)
Re1 0.1522 0.6522 0.8044
Re2 0.3478 0.1522 0.5000
Re3 0.6522 0.8478 0.5000
Re4 0.8478 0.3478 0.1956
Si1 0.2500 0.2500 0.0000
Si2 0.7500 0.7500 0.0000


[8]
The following is a PBE-GGA calculation of an optimized crystal structure of Re3Si, from Alexandria via LeMat-Bulk.

Values from the calculation:
Raw total energy, eV/cell: -42.29
Energy above the most stable polymorph in this dataset, meV per atom: 220
Formation energy without anion corrections, kJ/mol of formula units: 46
Calculated density, Mg/m³: 16.810

Cell: 4.7540 4.7540 4.6001 Å, 98.41 98.41 34.34°
Element x y z (fractional)
Re1 0.0000 0.0000 0.0000
Re2 0.2539 0.2539 0.7503
Re3 0.7461 0.7461 0.2497
Si1 0.5000 0.5000 0.5000


[9]
The following is a PBE-GGA calculation of an optimized crystal structure of Re2Si, from Alexandria via LeMat-Bulk.

Values from the calculation:
Raw total energy, eV/cell: -61.67
Energy above the most stable polymorph in this dataset, meV per atom: 85
Formation energy without anion corrections, kJ/mol of formula units: -50
Calculated density, Mg/m³: 15.696

Cell: 4.7206 4.7206 7.0111 Å, 111.11 111.11 35.87°
Element x y z (fractional)
Re1 0.0101 0.0101 0.2893
Re2 0.3486 0.3486 0.9454
Re3 0.6514 0.6514 0.0546
Re4 0.9899 0.9899 0.7107
Si1 0.3153 0.3153 0.3905
Si2 0.6847 0.6847 0.6095


[10]
The following is a PBE-GGA calculation of an optimized crystal structure of ReSi2, from Alexandria via LeMat-Bulk.

Values from the calculation:
Raw total energy, eV/cell: -22.55
Formation energy without anion corrections, kJ/mol of formula units: 71
Calculated density, Mg/m³: 9.051

Cell: 4.4884 4.4884 2.5486 Å, 90.00 90.00 120.00°
Element x y z (fractional)
Re1 0.0000 0.0000 0.0000
Si1 0.3333 0.6667 0.0000
Si2 0.6667 0.3333 0.0000


[11]
The following is a PBE-GGA calculation of an optimized crystal structure of ReSi3, from Alexandria via LeMat-Bulk.

Values from the calculation:
Raw total energy, eV/cell: -26.66
Formation energy without anion corrections, kJ/mol of formula units: 198
Calculated density, Mg/m³: 4.357

Cell: 4.6889 4.6889 4.6889 Å, 90.00 90.00 90.00°
Element x y z (fractional)
Re1 0.0000 0.0000 0.0000
Si1 0.0000 0.0000 0.5000
Si2 0.0000 0.5000 0.0000
Si3 0.5000 0.0000 0.0000


[12]
The following is a PBE-GGA calculation of an optimized crystal structure of Re3Si, from Alexandria via LeMat-Bulk.

Values from the calculation:
Raw total energy, eV/cell: -42.53
Energy above the most stable polymorph in this dataset, meV per atom: 161
Formation energy without anion corrections, kJ/mol of formula units: 23
Calculated density, Mg/m³: 16.904

Cell: 2.7936 4.0272 5.2294 Å, 90.00 101.58 90.00°
Element x y z (fractional)
Re1 0.0000 0.0000 0.0000
Re2 0.4244 0.5000 0.7395
Re3 0.5756 0.5000 0.2605
Si1 0.0000 0.0000 0.5000


[13]
The following is a PBE-GGA calculation of an optimized crystal structure of ReSi3, from Alexandria via LeMat-Bulk.

Values from the calculation:
Raw total energy, eV/cell: -56.70
Formation energy without anion corrections, kJ/mol of formula units: 36
Calculated density, Mg/m³: 8.270

Cell: 4.7712 4.7712 4.7712 Å, 90.00 90.00 90.00°
Element x y z (fractional)
Re1 0.0000 0.0000 0.0000
Re2 0.5000 0.5000 0.5000
Si1 0.0000 0.2500 0.5000
Si2 0.0000 0.7500 0.5000
Si3 0.2500 0.5000 0.0000
Si4 0.5000 0.0000 0.2500
Si5 0.5000 0.0000 0.7500
Si6 0.7500 0.5000 0.0000


[14]
The following is a PBE-GGA calculation of an optimized crystal structure of Re3Si, from Alexandria via LeMat-Bulk.

Values from the calculation:
Raw total energy, eV/cell: -42.10
Energy above the most stable polymorph in this dataset, meV per atom: 270
Formation energy without anion corrections, kJ/mol of formula units: 65
Calculated density, Mg/m³: 16.740

Cell: 4.7210 4.7210 2.8555 Å, 90.00 90.00 113.87°
Element x y z (fractional)
Re1 0.0000 0.0000 0.0000
Re2 0.0000 0.5000 0.5000
Re3 0.5000 0.0000 0.5000
Si1 0.5000 0.5000 0.0000


[15]
The following is a PBE-GGA calculation of an optimized crystal structure of Re2Si3, from Alexandria via LeMat-Bulk.

Values from the calculation:
Raw total energy, eV/cell: -81.31
Formation energy without anion corrections, kJ/mol of formula units: 49
Calculated density, Mg/m³: 10.871

Cell: 12.2055 11.5242 4.5004 Å, 87.74 70.64 21.62°
Element x y z (fractional)
Re1 0.0723 0.0723 0.6777
Re2 0.3223 0.3223 0.9277
Re3 0.6777 0.6777 0.0723
Re4 0.9277 0.9277 0.3223
Si1 0.1250 0.1250 0.1250
Si2 0.2733 0.2733 0.4767
Si3 0.4767 0.4767 0.2733
Si4 0.5233 0.5233 0.7267
Si5 0.7267 0.7267 0.5233
Si6 0.8750 0.8750 0.8750


[16]
The following is a PBE-GGA calculation of an optimized crystal structure of ReSi4, from Alexandria via LeMat-Bulk.

Values from the calculation:
Raw total energy, eV/cell: -29.92
Energy above the most stable polymorph in this dataset, meV per atom: 413
Formation energy without anion corrections, kJ/mol of formula units: 407
Calculated density, Mg/m³: 4.802

Cell: 4.6911 4.6911 4.6911 Å, 90.00 90.00 90.00°
Element x y z (fractional)
Re1 0.0000 0.0000 0.0000
Si1 0.0000 0.0000 0.5000
Si2 0.0000 0.5000 0.0000
Si3 0.5000 0.0000 0.0000
Si4 0.5000 0.5000 0.5000


[17]
The following is a PBE-GGA calculation of an optimized crystal structure of ReSi2, from Alexandria via LeMat-Bulk.

Values from the calculation:
Raw total energy, eV/cell: -23.43
Formation energy without anion corrections, kJ/mol of formula units: -14
Calculated density, Mg/m³: 9.426

Cell: 2.9499 2.9499 5.6658 Å, 90.00 90.00 120.00°
Element x y z (fractional)
Re1 0.0000 0.0000 0.0000
Si1 0.3333 0.6667 0.3242
Si2 0.6667 0.3333 0.6758


[18]
The following is a PBE-GGA calculation of an optimized crystal structure of ReSi2, from Alexandria via LeMat-Bulk.

Values from the calculation:
Raw total energy, eV/cell: -45.80
Formation energy without anion corrections, kJ/mol of formula units: 38
Calculated density, Mg/m³: 8.326

Cell: 6.0753 6.1508 2.5874 Å, 90.00 90.00 90.00°
Element x y z (fractional)
Re1 0.0000 0.0000 0.0000
Re2 0.5000 0.5000 0.5000
Si1 0.1626 0.3779 0.0000
Si2 0.3374 0.8779 0.5000
Si3 0.6626 0.1221 0.5000
Si4 0.8374 0.6221 0.0000


[19]
The following is a PBE-GGA calculation of an optimized crystal structure of Re3Si5, from Alexandria via LeMat-Bulk.

Values from the calculation:
Raw total energy, eV/cell: -126.18
Energy above the most stable polymorph in this dataset, meV per atom: 265
Formation energy without anion corrections, kJ/mol of formula units: 132
Calculated density, Mg/m³: 10.114

Cell: 7.4296 7.4296 4.8016 Å, 90.00 90.00 120.00°
Element x y z (fractional)
Re1 0.0000 0.3812 0.2500
Re2 0.0000 0.6188 0.7500
Re3 0.3812 0.0000 0.2500
Re4 0.3812 0.3812 0.7500
Re5 0.6188 0.0000 0.7500
Re6 0.6188 0.6188 0.2500
Si1 0.0000 0.2466 0.7500
Si2 0.0000 0.7534 0.2500
Si3 0.2466 0.0000 0.7500
Si4 0.2466 0.2466 0.2500
Si5 0.3333 0.6667 0.0000
Si6 0.3333 0.6667 0.5000
Si7 0.6667 0.3333 0.0000
Si8 0.6667 0.3333 0.5000
Si9 0.7534 0.0000 0.2500
Si10 0.7534 0.7534 0.7500


[20]
The following is a PBE-GGA calculation of an optimized crystal structure of ReSi2, from Alexandria via LeMat-Bulk.

Values from the calculation:
Raw total energy, eV/cell: -90.15
Formation energy without anion corrections, kJ/mol of formula units: 73
Calculated density, Mg/m³: 9.867

Cell: 10.5215 10.5215 10.5215 Å, 158.01 158.01 31.29°
Element x y z (fractional)
Re1 0.3030 0.5530 0.7500
Re2 0.4470 0.6970 0.7500
Re3 0.5530 0.3030 0.2500
Re4 0.6970 0.4470 0.2500
Si1 0.0396 0.7896 0.2500
Si2 0.1242 0.3742 0.7500
Si3 0.2104 0.9604 0.2500
Si4 0.3742 0.1242 0.2500
Si5 0.6258 0.8758 0.7500
Si6 0.7896 0.0396 0.7500
Si7 0.8758 0.6258 0.2500
Si8 0.9604 0.2104 0.7500